Material: Sm3Ru2Cl
Method: DFT, PBE
State: optimized geometry

```
6
Lattice="3.4171 0.0000 0.0000 0.0000 3.4171 0.0000 0.0000 0.0000 11.6142" Properties=species:S:1:pos:R:3 pbc="T T T"
Sm 0.0000 0.0000 0.0000
Sm 0.0000 0.0000 3.5058
Sm 0.0000 0.0000 8.1084
Ru 1.7086 1.7086 1.8548
Ru 1.7086 1.7086 9.7594
Cl 1.7086 1.7086 5.8071
```

The density of states at the Fermi level comes out at 1.2 states/eV/f.u. The calculation puts the uncorrected formation energy at -64.38 kJ/mol of atoms. The magnetization is 0.00 μB per formula unit. The calculation puts the volume at 22.6 A^3/atom.

Material: Pm2AuI2
Method: DFT, PBE
State: optimized geometry

```
5
Lattice="2.1133 1.2201 11.9959 -2.1133 1.2201 11.9959 0.0000 -2.4403 11.9959" Properties=species:S:1:pos:R:3 pbc="T T T"
Pm 0.0000 0.0000 4.2184
Pm 0.0000 0.0000 31.7692
Au 0.0000 0.0000 17.9938
I 0.0000 0.0000 9.9068
I 0.0000 0.0000 26.0808
```

The density of states at the Fermi level comes out at 4.5 states/eV/f.u. The calculation puts the uncorrected formation energy at -104.79 kJ/mol of atoms. The magnetization is 0.01 μB per formula unit. The calculation puts the volume at 37.1 A^3/atom.

Material: Tl2Au7
Method: DFT, PBE
State: optimized geometry

```
18
Lattice="2.8435 1.6417 14.0433 -2.8435 1.6417 14.0433 0.0000 -3.2834 14.0433" Properties=species:S:1:pos:R:3 pbc="T T T"
Tl 0.0000 0.0000 2.1354
Tl 0.0000 0.0000 6.1674
Tl 0.0000 0.0000 35.9625
Tl 0.0000 0.0000 39.9946
Au -1.4218 -0.8209 14.0433
Au -1.4367 -0.8295 18.7454
Au 0.0000 0.0000 11.6977
Au 0.0000 -1.6590 23.3846
Au -1.4367 0.8295 23.3846
Au 0.0000 0.0000 16.3890
Au -1.4218 0.8209 28.0866
Au 0.0000 1.6417 14.0433
Au 0.0000 0.0000 21.0650
Au 0.0000 0.0000 25.7410
Au 1.4367 -0.8295 18.7454
Au 0.0000 1.6590 18.7454
Au 0.0000 0.0000 30.4322
Au 1.4367 0.8295 23.3846
```

The density of states at the Fermi level comes out at 4.9 states/eV/f.u. The magnetization is 0.00 μB per formula unit. The formation energy from the elements comes out at 4 meV per atom. The calculation puts the volume at 21.9 A^3/atom.

Material: MnSbAu2
Method: DFT, PBE
State: optimized geometry

```
4
Lattice="1.7442 1.0070 7.7976 -1.7442 1.0070 7.7976 0.0000 -2.0140 7.7976" Properties=species:S:1:pos:R:3 pbc="T T T"
Mn 0.0000 0.0000 0.0000
Sb 0.0000 0.0000 5.7937
Au 0.0000 0.0000 11.5101
Au 0.0000 0.0000 17.2963
```

The density of states at the Fermi level comes out at 2.3 states/eV/f.u. The calculation puts the uncorrected formation energy at 16.09 kJ/mol of atoms. The magnetization is 3.89 μB per formula unit. The calculation puts the volume at 20.5 A^3/atom.

Material: InP2RuO
Method: DFT, PBE
State: optimized geometry

```
5
Lattice="5.0409 0.0000 0.0000 0.0000 5.0409 0.0000 0.0000 0.0000 3.9129" Properties=species:S:1:pos:R:3 pbc="T T T"
In 0.0000 0.0000 0.0000
P 0.0000 2.5205 0.0000
P 2.5205 0.0000 0.0000
Ru 2.5205 2.5205 1.9565
O 0.0000 0.0000 1.9565
```

The density of states at the Fermi level comes out at 6.5 states/eV/f.u. The calculation puts the uncorrected formation energy at 110.79 kJ/mol of atoms. The magnetization is 2.65 μB per formula unit. The calculation puts the volume at 19.9 A^3/atom. The energy relative to the lowest polymorph listed for this composition comes out at 1106 meV/atom.

Material: GaAsW3
Method: DFT, PBE
State: optimized geometry

```
5
Lattice="4.6076 0.0000 0.0000 0.0000 4.6076 0.0000 0.0000 0.0000 4.6076" Properties=species:S:1:pos:R:3 pbc="T T T"
Ga 0.0000 0.0000 0.0000
As 2.3038 2.3038 2.3038
W 0.0000 2.3038 2.3038
W 2.3038 0.0000 2.3038
W 2.3038 2.3038 0.0000
```

The density of states at the Fermi level comes out at 4.9 states/eV/f.u. The magnetization is 0.00 μB per formula unit. The formation energy from the elements comes out at 1578 meV per atom. The calculation puts the volume at 19.6 A^3/atom. The energy relative to the lowest polymorph listed for this composition comes out at 0 meV/atom.

Material: Tb2TmNi
Method: DFT, PBE
State: optimized geometry

```
4
Lattice="3.4631 0.0000 0.0000 0.0000 3.4631 0.0000 0.0000 0.0000 8.5091" Properties=species:S:1:pos:R:3 pbc="T T T"
Tb 0.0000 0.0000 1.6243
Tb 0.0000 0.0000 6.8848
Tm 1.7315 1.7315 4.2546
Ni 1.7315 1.7315 0.0000
```

The density of states at the Fermi level comes out at 6.5 states/eV/f.u. The magnetization is 0.00 μB per formula unit. The formation energy from the elements comes out at -139 meV per atom. The calculation puts the volume at 25.5 A^3/atom. The energy relative to the lowest polymorph listed for this composition comes out at 110 meV/atom.

Material: CaZn2Ni4Ge
Method: DFT, PBE
State: optimized geometry

```
8
Lattice="2.0507 1.1840 8.2504 -2.0507 1.1840 8.2504 0.0000 -2.3679 8.2504" Properties=species:S:1:pos:R:3 pbc="T T T"
Ca 0.0000 0.0000 0.0000
Zn 0.0000 0.0000 6.0550
Zn 0.0000 0.0000 18.6962
Ni 0.0000 0.0000 3.2774
Ni 0.0000 0.0000 10.1134
Ni 0.0000 0.0000 14.6378
Ni 0.0000 0.0000 21.4738
Ge 0.0000 0.0000 12.3756
```

The density of states at the Fermi level comes out at 4.4 states/eV/f.u. The magnetization is 0.00 μB per formula unit. The formation energy from the elements comes out at -200 meV per atom. The calculation puts the volume at 15.0 A^3/atom.

Material: Ta2Te
Method: DFT, PBE
State: optimized geometry

```
3
Lattice="-1.7861 1.7861 4.6131 1.7861 -1.7861 4.6131 1.7861 1.7861 -4.6131" Properties=species:S:1:pos:R:3 pbc="T T T"
Ta 0.0000 0.0000 1.6122
Ta 0.0000 0.0000 7.6140
Te 0.0000 0.0000 4.6131
```

The density of states at the Fermi level comes out at 2.6 states/eV/f.u. The calculation puts the uncorrected formation energy at 23.63 kJ/mol of atoms. The magnetization is 0.00 μB per formula unit. The calculation puts the volume at 19.6 A^3/atom.

Material: CrIr2
Method: DFT, PBE
State: optimized geometry

```
6
Lattice="4.8882 -1.3537 0.0000 4.8882 1.3537 0.0000 -1.5213 0.0000 6.1664" Properties=species:S:1:pos:R:3 pbc="T T T"
Cr -0.1778 0.0000 1.9022
Cr 8.4329 0.0000 4.2642
Ir 2.5181 0.0000 2.2725
Ir 2.0847 0.0000 5.9925
Ir 6.1704 0.0000 0.1739
Ir 5.7370 0.0000 3.8939
```

The density of states at the Fermi level comes out at 3.2 states/eV/f.u. The magnetization is 0.00 μB per formula unit. The formation energy from the elements comes out at -188 meV per atom. The calculation puts the volume at 13.6 A^3/atom.

Material: Si2SbW
Method: DFT, PBE
State: optimized geometry

```
4
Lattice="4.5055 0.0000 0.0000 0.0000 4.5055 0.0000 0.0000 0.0000 3.3508" Properties=species:S:1:pos:R:3 pbc="T T T"
Si 0.0000 2.2527 0.0000
Si 2.2527 0.0000 0.0000
Sb 0.0000 0.0000 1.6754
W 2.2527 2.2527 1.6754
```

The density of states at the Fermi level comes out at 3.2 states/eV/f.u. The calculation puts the uncorrected formation energy at 70.51 kJ/mol of atoms. The magnetization is 0.00 μB per formula unit. The calculation puts the volume at 17.0 A^3/atom.

Material: RbYZnPt2
Method: DFT, PBE
State: optimized geometry

```
5
Lattice="5.2703 0.0000 0.0000 0.0000 5.2703 0.0000 0.0000 0.0000 5.0322" Properties=species:S:1:pos:R:3 pbc="T T T"
Rb 0.0000 0.0000 0.0000
Y 2.6351 2.6351 2.5161
Zn 0.0000 0.0000 2.5161
Pt 0.0000 2.6351 0.0000
Pt 2.6351 0.0000 0.0000
```

The density of states at the Fermi level comes out at 1.8 states/eV/f.u. The magnetization is 0.00 μB per formula unit. The formation energy from the elements comes out at 1167 meV per atom. The calculation puts the volume at 28.0 A^3/atom.

Material: CaHgSbCl6
Method: DFT, PBE
State: optimized geometry

```
9
Lattice="7.0179 0.0000 0.0000 -3.5090 6.0777 0.0000 0.0000 0.0000 6.5845" Properties=species:S:1:pos:R:3 pbc="T T T"
Ca 0.0000 0.0000 0.0000
Hg 0.0000 4.0518 3.2922
Sb 3.5090 2.0259 0.0000
Cl 2.3193 0.1689 5.0788
Cl 1.3059 1.9241 1.5057
Cl 4.6987 0.1689 1.5057
Cl 2.4956 3.9847 5.0788
Cl 5.7120 1.9241 5.0788
Cl 4.5223 3.9847 1.5057
```

The density of states at the Fermi level comes out at 4.0 states/eV/f.u. The calculation puts the uncorrected formation energy at -115.51 kJ/mol of atoms. The magnetization is 0.00 μB per formula unit. The calculation puts the volume at 31.2 A^3/atom.

Material: BeAsSe2
Method: DFT, PBE
State: optimized geometry

```
4
Lattice="-1.7114 2.1186 5.5296 1.7114 -2.1186 5.5296 1.7114 2.1186 -5.5296" Properties=species:S:1:pos:R:3 pbc="T T T"
Be 0.0000 0.0000 0.0000
As 0.0000 2.1186 3.3435
Se 1.7114 0.0000 1.4155
Se 0.0000 0.0000 4.8433
```

The density of states at the Fermi level comes out at 1.6 states/eV/f.u. The calculation puts the uncorrected formation energy at 14.34 kJ/mol of atoms. The magnetization is 0.00 μB per formula unit. The calculation puts the volume at 20.0 A^3/atom. The energy relative to the lowest polymorph listed for this composition comes out at 265 meV/atom.

Material: Tb2BeGeC
Method: DFT, PBE
State: optimized geometry

```
10
Lattice="6.3838 0.0000 0.0000 0.0000 3.7599 0.0000 -2.4710 0.0000 7.6305" Properties=species:S:1:pos:R:3 pbc="T T T"
Tb 0.3244 0.9400 2.9537
Tb -1.0086 0.9400 7.3642
Tb 4.9214 2.8199 0.2662
Tb 3.5885 2.8199 4.6767
Be 2.2838 2.8199 1.8752
Be 1.6291 0.9400 5.7553
Ge 0.3559 2.8199 5.3490
Ge 3.5570 0.9400 2.2815
C 0.6898 2.8199 1.3265
C 3.2231 0.9400 6.3039
```

The density of states at the Fermi level comes out at 1.3 states/eV/f.u. The magnetization is 0.00 μB per formula unit. The formation energy from the elements comes out at -572 meV per atom. The calculation puts the volume at 18.3 A^3/atom.

Material: GaNi3Sn
Method: DFT, PBE
State: optimized geometry

```
5
Lattice="4.6644 0.0000 0.0000 0.0000 4.6644 0.0000 0.0000 0.0000 4.6644" Properties=species:S:1:pos:R:3 pbc="T T T"
Ga 0.0000 0.0000 0.0000
Ni 0.0000 2.3322 2.3322
Ni 2.3322 0.0000 2.3322
Ni 2.3322 2.3322 0.0000
Sn 2.3322 2.3322 2.3322
```

The density of states at the Fermi level comes out at 7.2 states/eV/f.u. The magnetization is 0.00 μB per formula unit. The formation energy from the elements comes out at 946 meV per atom. The calculation puts the volume at 20.3 A^3/atom. The energy relative to the lowest polymorph listed for this composition comes out at 1095 meV/atom.

Material: CuAsO5
Method: DFT, PBE
State: optimized geometry

```
14
Lattice="3.9597 -3.1665 0.0000 3.9597 3.1665 0.0000 -3.2651 0.0000 6.4126" Properties=species:S:1:pos:R:3 pbc="T T T"
Cu 1.5108 2.8942 4.8094
Cu 3.1434 -2.8942 1.6031
As 3.9597 0.0000 0.0000
As 2.3271 0.0000 3.2063
O 2.0996 1.8145 3.3518
O -0.8677 0.3070 5.5353
O 0.9221 1.8145 6.2671
O 0.7649 -0.3070 2.3291
O 3.1434 0.4101 1.6031
O 1.5108 -0.4101 4.8094
O 3.8894 0.3070 4.0835
O 3.7322 -1.8145 0.1455
O 5.5219 -0.3070 0.8772
O 2.5546 -1.8145 3.0608
```

The density of states at the Fermi level comes out at 5.1 states/eV/f.u. The calculation puts the uncorrected formation energy at -22.86 kJ/mol of atoms. The magnetization is 2.56 μB per formula unit. The calculation puts the volume at 11.5 A^3/atom.

Material: TaAl2Rh2
Method: DFT, PBE
State: optimized geometry

```
5
Lattice="-1.7965 1.7965 6.1795 1.7965 -1.7965 6.1795 1.7965 1.7965 -6.1795" Properties=species:S:1:pos:R:3 pbc="T T T"
Ta 0.0000 0.0000 0.0000
Al 1.7965 0.0000 3.0898
Al 0.0000 1.7965 3.0898
Rh 0.0000 0.0000 4.8840
Rh 0.0000 0.0000 7.4750
```

The density of states at the Fermi level comes out at 3.6 states/eV/f.u. The magnetization is 0.00 μB per formula unit. The formation energy from the elements comes out at -369 meV per atom. The calculation puts the volume at 16.0 A^3/atom. The energy relative to the lowest polymorph listed for this composition comes out at 271 meV/atom.

Material: Sr3CrB
Method: DFT, PBE
State: optimized geometry

```
5
Lattice="5.6548 0.0000 0.0000 0.0000 5.6548 0.0000 0.0000 0.0000 5.6548" Properties=species:S:1:pos:R:3 pbc="T T T"
Sr 0.0000 0.0000 2.8274
Sr 0.0000 2.8274 0.0000
Sr 2.8274 0.0000 0.0000
Cr 2.8274 2.8274 2.8274
B 0.0000 0.0000 0.0000
```

The density of states at the Fermi level comes out at 8.1 states/eV/f.u. The magnetization is 5.98 μB per formula unit. The formation energy from the elements comes out at 697 meV per atom. The calculation puts the volume at 36.2 A^3/atom. The energy relative to the lowest polymorph listed for this composition comes out at 0 meV/atom.

Material: Sm2Te2H
Method: DFT, PBE
State: optimized geometry

```
10
Lattice="2.0057 -5.5506 0.0000 2.0057 5.5506 0.0000 0.0000 0.0000 11.7085" Properties=species:S:1:pos:R:3 pbc="T T T"
Sm 2.0057 4.9729 5.8543
Sm 2.0057 3.0436 8.7769
Sm 2.0057 -3.0436 2.9226
Sm 2.0057 -4.9729 0.0000
Te 2.0057 4.8585 2.8043
Te 2.0057 1.8739 5.3529
Te 2.0057 -1.8739 11.2072
Te 2.0057 -4.8585 8.6585
H 2.0057 1.5199 1.3262
H 2.0057 -1.5199 7.1804
```

The density of states at the Fermi level comes out at 2.8 states/eV/f.u. The uncorrected energy comes out at -48.72 eV/cell. The magnetization is 0.37 μB per formula unit. The calculation puts the volume at 26.1 A^3/atom.